No. 1
Compound: Ac2HoEr
Source: Alexandria via LeMat-Bulk
Functional: PBE
Structure: optimized geometry

Output
- Distance to the lowest polymorph of the same formula: 0.0017 eV per atom
- N(E_F): 1.36 states/eV/atom
- Formation energy: 0.0560 eV/atom
- Symmetry: P4/mmm (123)
- Magnetic moment: 0.0 μB/f.u.

abc: 3.888 3.888 9.839
angles: 90.00 90.00 90.00
Fractional positions:
Ac 0.000 0.000 0.249
Ac 0.000 0.000 0.751
Ho 0.500 0.500 0.500
Er 0.500 0.500 0.000

---

No. 2
Compound: Ac2Ho5Er12
Source: Alexandria via LeMat-Bulk
Functional: PBE
Structure: optimized geometry

Output
- Distance to the lowest polymorph of the same formula: 0.0000 eV per atom
- N(E_F): 1.63 states/eV/atom
- Formation energy: 0.2077 eV/atom
- Symmetry: C2/m (12)
- Magnetic moment: 0.0 μB/f.u.

abc: 9.371 9.371 8.655
angles: 101.37 101.37 59.14
Fractional positions:
Ac 0.197 0.803 0.000
Ac 0.803 0.197 0.000
Ho 0.000 0.000 0.500
Ho 0.218 0.218 0.517
Ho 0.358 0.358 0.860
Ho 0.642 0.642 0.140
Ho 0.782 0.782 0.483
Er 0.056 0.428 0.188
Er 0.148 0.148 0.830
Er 0.210 0.586 0.549
Er 0.414 0.790 0.451
Er 0.428 0.056 0.188
Er 0.434 0.434 0.231
Er 0.566 0.566 0.769
Er 0.572 0.944 0.812
Er 0.586 0.210 0.549
Er 0.790 0.414 0.451
Er 0.852 0.852 0.170
Er 0.944 0.572 0.812

---

No. 3
Compound: AcHo2Er4
Source: Alexandria via LeMat-Bulk
Functional: PBE
Structure: optimized geometry

Output
- Distance to the lowest polymorph of the same formula: 0.0750 eV per atom
- N(E_F): 1.42 states/eV/atom
- Formation energy: 0.1476 eV/atom
- Symmetry: P1 (1)
- Magnetic moment: 0.0 μB/f.u.

abc: 6.561 8.880 9.260
angles: 72.22 71.75 69.10
Fractional positions:
Ac 0.000 0.000 0.000
Ac 0.355 0.082 0.216
Ho 0.004 0.824 0.453
Ho 0.021 0.539 0.094
Ho 0.637 0.599 0.445
Ho 0.902 0.169 0.589
Er 0.209 0.430 0.452
Er 0.287 0.710 0.757
Er 0.389 0.299 0.806
Er 0.433 0.662 0.126
Er 0.458 0.040 0.574
Er 0.715 0.854 0.839
Er 0.729 0.274 0.256
Er 0.815 0.457 0.819

---

No. 4
Compound: AcHo4Er10
Source: Alexandria via LeMat-Bulk
Functional: PBE
Structure: optimized geometry

Output
- N(E_F): 1.98 states/eV/atom
- Formation energy: 0.5418 eV/atom
- Symmetry: I4/m (87)
- Magnetic moment: 0.0 μB/f.u.

abc: 9.585 9.585 9.585
angles: 96.68 96.68 140.13
Fractional positions:
Ac 0.000 0.000 0.000
Ho 0.322 0.432 0.754
Ho 0.432 0.678 0.111
Ho 0.568 0.322 0.889
Ho 0.678 0.568 0.246
Er 0.041 0.621 0.161
Er 0.121 0.959 0.580
Er 0.250 0.750 0.500
Er 0.379 0.540 0.420
Er 0.460 0.879 0.839
Er 0.540 0.121 0.161
Er 0.621 0.460 0.580
Er 0.750 0.250 0.500
Er 0.879 0.041 0.420
Er 0.959 0.379 0.839